Below is a relaxed structure of RbInHg, with properties calculated at the GGA-PBE level.

Calculated values
E above lowest polymorph in eV/f.u.: 0.00
Energy of formation in kcal/mol of atoms: -3.088
Crystal system: triclinic
Space group: P-1
Fermi-level density of states in states/eV per atom: 0.338

Cell: 5.0198 5.0185 11.7828 Å, 90.58 90.76 60.06°
Last column: nearest neighbours and their distance in Å.
Fractional coordinates of all 6 atoms:
Rb: 0.6749 0.1699 0.3194  3 Hg 3.54
Rb: 0.3251 0.8301 0.6806  3 Hg 3.54
In: 0.3350 0.8340 0.0568  3 Hg 3.09, 3 In 3.19-3.20
In: 0.6650 0.1660 0.9432  3 Hg 3.09, 3 In 3.19-3.20
Hg: 0.9961 0.4985 0.8530  3 In 3.09
Hg: 0.0039 0.5015 0.1470  3 In 3.09